The following is a PBE calculation of LiBiPt2 after structural relaxation, from OQMD.

The space group is F-43m (No. 216) and the conventional cell measures 6.570, 6.570 and 6.570 Å, with angles of 90.00, 90.00 and 90.00 degrees. Symmetry generates all atoms from Li at (0.000, 0.000, 0.000), Bi at (0.250, 0.250, 0.750), Pt at (0.000, 0.000, 0.500) and Pt at (0.250, 0.250, 0.250).

The calculation puts the size of the total moment at 0.0 μB/f.u. The mass density comes out at 14.2 Mg/m³. As for the electronic total energy: -19.20 eV/f.u. As for the crystal system: cubic.